First-principles (meta-GGA SCAN) data for a crystal of LiAlPS2 relaxed with PBEsol, as listed in Alexandria.

Cell: 4.132 4.443 4.443 Å, 90.00 90.00 90.00°
Fractional coordinates of all 5 atoms:
P 0.500 0.000 0.000
S 0.000 0.000 0.500
S 0.000 0.500 0.000
Al 0.500 0.500 0.500
Li 0.000 0.000 0.000

total moment = 0.0 Bohr magnetons per cell
energy relative to the elements, uncorrected = 0.57 eV per atom